The following is a PBE calculation of an optimized crystal structure of Sc7Pb2C2, from Alexandria.

Unit cell a=6.040 b=6.475 c=6.040 alpha=89.98 beta=105.31 gamma=90.02
Sites, in units of the cell vectors:
C: 0.736 0.000 0.264
C: 0.264 0.000 0.736
Sc: 0.000 0.779 0.500
Sc: 0.500 0.779 0.000
Sc: 0.000 0.221 0.500
Sc: 0.000 0.000 0.000
Sc: 0.500 0.221 0.000
Sc: 0.500 0.796 0.500
Sc: 0.500 0.204 0.500
Pb: 0.201 0.500 0.201
Pb: 0.799 0.500 0.799

Values from the calculation:
Formation enthalpy at 0 K (meV/atom): -183
Total magnetic moment (μB/atom): 0.17
SG: Cmmm, No. 65